[1]
# CuBiP2O8 (PBEsol, relaxed)
# Total magnetic moment, μB per formula unit: 0.0
# Raw formation energy, kJ/mol of formula units: -1891
data_CuBiP2O8
_symmetry_space_group_name_H-M 'P 1'
_symmetry_Int_Tables_number 1
_symmetry_space_group_name_Hall 'P 1'
_cell_length_a 5.2471
_cell_length_b 6.1124
_cell_length_c 10.5660
_cell_angle_alpha 90.00
_cell_angle_beta 97.16
_cell_angle_gamma 90.00
loop_
_atom_site_label
_atom_site_fract_x
_atom_site_fract_y
_atom_site_fract_z
Cu1 0.1749 0.2500 0.6774
Cu2 0.8251 0.7500 0.3226
Bi1 0.5694 0.7500 0.7967
Bi2 0.4306 0.2500 0.2033
P1 0.6613 0.2500 0.8911
P2 0.0591 0.7500 0.5971
P3 0.9409 0.2500 0.4029
P4 0.3387 0.7500 0.1089
O1 0.3340 0.7500 0.9640
O2 0.3705 0.2500 0.8357
O3 0.8030 0.0490 0.8441
O4 0.8030 0.4510 0.8441
O5 0.2246 0.5555 0.6643
O6 0.2246 0.9445 0.6643
O7 0.7796 0.7500 0.6178
O8 0.9100 0.2500 0.5464
O9 0.0900 0.7500 0.4536
O10 0.2204 0.2500 0.3822
O11 0.7754 0.0555 0.3357
O12 0.7754 0.4445 0.3357
O13 0.1970 0.5490 0.1559
O14 0.1970 0.9510 0.1559
O15 0.6295 0.7500 0.1643
O16 0.6660 0.2500 0.0360

***

[2]
# Cu4Bi3PbSe4O4 (PBEsol, relaxed)
# Total magnetic moment, μB per formula unit: 0.0
# Raw formation energy, kJ/mol of formula units: -1073
data_Cu4Bi3PbSe4O4
_symmetry_space_group_name_H-M 'P 1'
_symmetry_Int_Tables_number 1
_symmetry_space_group_name_Hall 'P 1'
_cell_length_a 5.5204
_cell_length_b 5.5204
_cell_length_c 9.8877
_cell_angle_alpha 106.21
_cell_angle_beta 106.21
_cell_angle_gamma 90.00
loop_
_atom_site_label
_atom_site_fract_x
_atom_site_fract_y
_atom_site_fract_z
Cu1 0.5000 0.0012 0.5013
Cu2 0.0012 0.5000 0.5013
Cu3 0.5000 0.5000 0.5013
Cu4 0.0012 0.0012 0.5013
Bi1 0.0638 0.0638 0.1276
Bi2 0.4315 0.9315 0.8630
Bi3 0.9315 0.4315 0.8630
Pb1 0.5763 0.5763 0.1526
Se1 0.3341 0.3341 0.6683
Se2 0.8330 0.8330 0.6660
Se3 0.6692 0.1692 0.3384
Se4 0.1692 0.6692 0.3384
O1 0.7521 0.2424 0.9945
O2 0.2424 0.7521 0.9945
O3 0.7521 0.7521 0.9945
O4 0.2424 0.2424 0.9945

***

[3]
# Sr2YCu2BiPbO8 (PBEsol, relaxed)
# Total magnetic moment, μB per formula unit: 0.0
# Raw formation energy, kJ/mol of formula units: -2654
data_Sr2YCu2BiPbO8
_symmetry_space_group_name_H-M 'P 1'
_symmetry_Int_Tables_number 1
_symmetry_space_group_name_Hall 'P 1'
_cell_length_a 3.7255
_cell_length_b 3.7255
_cell_length_c 15.3211
_cell_angle_alpha 96.98
_cell_angle_beta 96.98
_cell_angle_gamma 90.00
loop_
_atom_site_label
_atom_site_fract_x
_atom_site_fract_y
_atom_site_fract_z
Sr1 0.3820 0.3820 0.7641
Sr2 0.6144 0.6144 0.2288
Y1 0.4993 0.4993 0.9985
Cu1 0.9433 0.9433 0.8867
Cu2 0.0540 0.0540 0.1081
Bi1 0.2050 0.2050 0.4100
Pb1 0.7965 0.7965 0.5930
O1 0.8702 0.8702 0.7403
O2 0.1343 0.1343 0.2686
O3 0.9529 0.4529 0.9057
O4 0.5490 0.0490 0.0980
O5 0.0490 0.5490 0.0980
O6 0.4529 0.9529 0.9057
O7 0.2982 0.2982 0.5964
O8 0.6991 0.6991 0.3981

***

[4]
# Cu2Bi3Sb3O14 (PBEsol, relaxed)
# Total magnetic moment, μB per formula unit: 2.0
# Raw formation energy, kJ/mol of formula units: -2604
data_Cu2Bi3Sb3O14
_symmetry_space_group_name_H-M 'P 1'
_symmetry_Int_Tables_number 1
_symmetry_space_group_name_Hall 'P 1'
_cell_length_a 7.2211
_cell_length_b 7.2211
_cell_length_c 7.2211
_cell_angle_alpha 62.03
_cell_angle_beta 62.03
_cell_angle_gamma 62.03
loop_
_atom_site_label
_atom_site_fract_x
_atom_site_fract_y
_atom_site_fract_z
Cu1 0.5000 0.5000 0.5000
Cu2 0.0000 0.0000 0.0000
Bi1 0.0000 0.5000 0.5000
Bi2 0.5000 0.5000 0.0000
Bi3 0.5000 0.0000 0.5000
Sb1 0.5000 0.0000 0.0000
Sb2 0.0000 0.0000 0.5000
Sb3 0.0000 0.5000 0.0000
O1 0.9268 0.3223 0.3223
O2 0.3359 0.9152 0.9152
O3 0.3223 0.3223 0.9268
O4 0.9152 0.9152 0.3359
O5 0.9152 0.3359 0.9152
O6 0.3223 0.9268 0.3223
O7 0.0732 0.6777 0.6777
O8 0.6641 0.0848 0.0848
O9 0.6777 0.6777 0.0732
O10 0.0848 0.0848 0.6641
O11 0.0848 0.6641 0.0848
O12 0.6777 0.0732 0.6777
O13 0.3913 0.3913 0.3913
O14 0.6087 0.6087 0.6087

***

[5]
# CuBi2Se4O12 (PBEsol, relaxed)
# Total magnetic moment, μB per formula unit: 1.0
# Raw formation energy, kJ/mol of formula units: -1697
data_CuBi2Se4O12
_symmetry_space_group_name_H-M 'P 1'
_symmetry_Int_Tables_number 1
_symmetry_space_group_name_Hall 'P 1'
_cell_length_a 7.1456
_cell_length_b 8.0968
_cell_length_c 10.6856
_cell_angle_alpha 110.40
_cell_angle_beta 90.00
_cell_angle_gamma 90.00
loop_
_atom_site_label
_atom_site_fract_x
_atom_site_fract_y
_atom_site_fract_z
Cu1 0.0000 0.0000 0.0000
Cu2 0.5000 0.5000 0.0000
Bi1 0.1329 0.7409 0.5932
Bi2 0.6329 0.7591 0.4068
Bi3 0.8671 0.2591 0.4068
Bi4 0.3671 0.2409 0.5932
Se1 0.1727 0.8604 0.3120
Se2 0.8242 0.3799 0.1300
Se3 0.3273 0.3604 0.3120
Se4 0.6758 0.8799 0.1300
Se5 0.6727 0.6396 0.6880
Se6 0.8273 0.1396 0.6880
Se7 0.1758 0.6201 0.8700
Se8 0.3242 0.1201 0.8700
O1 0.2799 0.0254 0.7024
O2 0.1459 0.4206 0.4304
O3 0.8541 0.5794 0.5696
O4 0.4918 0.3020 0.4066
O5 0.7799 0.4746 0.2976
O6 0.2201 0.5254 0.7024
O7 0.3541 0.9206 0.4304
O8 0.1200 0.8224 0.8529
O9 0.8826 0.9310 0.6813
O10 0.7201 0.9746 0.2976
O11 0.8908 0.8205 0.0546
O12 0.6092 0.3205 0.0546
O13 0.1174 0.0690 0.3187
O14 0.8800 0.1776 0.1471
O15 0.6200 0.6776 0.1471
O16 0.6459 0.0794 0.5696
O17 0.3800 0.3224 0.8529
O18 0.5082 0.6980 0.5934
O19 0.9918 0.1980 0.5934
O20 0.0082 0.8020 0.4066
O21 0.3826 0.5690 0.3187
O22 0.3908 0.6795 0.9454
O23 0.1092 0.1795 0.9454
O24 0.6174 0.4310 0.6813

***

[6]
# CuSi2BiO (PBEsol, relaxed)
# Total magnetic moment, μB per formula unit: 0.0
# Raw formation energy, kJ/mol of formula units: 66
data_CuSi2BiO
_symmetry_space_group_name_H-M 'P 1'
_symmetry_Int_Tables_number 1
_symmetry_space_group_name_Hall 'P 1'
_cell_length_a 4.2183
_cell_length_b 4.2183
_cell_length_c 4.4929
_cell_angle_alpha 90.00
_cell_angle_beta 90.00
_cell_angle_gamma 90.00
loop_
_atom_site_label
_atom_site_fract_x
_atom_site_fract_y
_atom_site_fract_z
O1 0.0000 0.0000 0.0000
Si1 0.0000 0.5000 0.0000
Si2 0.5000 0.0000 0.0000
Bi1 0.5000 0.5000 0.5000
Cu1 0.0000 0.0000 0.5000

***

[7]
# Sr2YCu2BiO7 (PBEsol, relaxed)
# Total magnetic moment, μB per formula unit: 0.0
# Raw formation energy, kJ/mol of formula units: -2507
data_Sr2YCu2BiO7
_symmetry_space_group_name_H-M 'P 1'
_symmetry_Int_Tables_number 1
_symmetry_space_group_name_Hall 'P 1'
_cell_length_a 5.3152
_cell_length_b 5.3468
_cell_length_c 12.9533
_cell_angle_alpha 101.91
_cell_angle_beta 101.84
_cell_angle_gamma 90.00
loop_
_atom_site_label
_atom_site_fract_x
_atom_site_fract_y
_atom_site_fract_z
Sr1 0.3844 0.3674 0.7224
Sr2 0.6620 0.6326 0.2776
Sr3 0.8844 0.8550 0.7224
Sr4 0.1620 0.1450 0.2776
Y1 0.0195 0.0000 0.0000
Y2 0.5195 0.5000 0.0000
Cu1 0.9531 0.4328 0.8665
Cu2 0.0866 0.5672 0.1335
Cu3 0.4531 0.9337 0.8665
Cu4 0.5866 0.0663 0.1335
Bi1 0.2495 0.7426 0.5000
Bi2 0.7495 0.2574 0.5000
O1 0.3386 0.3405 0.5000
O2 0.8386 0.6595 0.5000
O3 0.7105 0.1921 0.8829
O4 0.8276 0.8079 0.1171
O5 0.2105 0.1908 0.8829
O6 0.3276 0.8092 0.1171
O7 0.2121 0.6912 0.8836
O8 0.3285 0.3088 0.1164
O9 0.7121 0.6924 0.8836
O10 0.8285 0.3076 0.1164
O11 0.3582 0.8327 0.6819
O12 0.6763 0.1673 0.3181
O13 0.8582 0.3492 0.6819
O14 0.1763 0.6508 0.3181

***

[8]
# CuBiTeO (PBEsol, relaxed)
# Total magnetic moment, μB per formula unit: 0.0
# Raw formation energy, kJ/mol of formula units: -225
data_CuBiTeO
_symmetry_space_group_name_H-M 'P 1'
_symmetry_Int_Tables_number 1
_symmetry_space_group_name_Hall 'P 1'
_cell_length_a 3.9933
_cell_length_b 3.9933
_cell_length_c 9.4950
_cell_angle_alpha 90.00
_cell_angle_beta 90.00
_cell_angle_gamma 90.00
loop_
_atom_site_label
_atom_site_fract_x
_atom_site_fract_y
_atom_site_fract_z
O1 0.0000 0.0000 0.0000
O2 0.5000 0.5000 0.0000
Te1 0.0000 0.5000 0.3207
Te2 0.5000 0.0000 0.6793
Bi1 0.0000 0.5000 0.8712
Bi2 0.5000 0.0000 0.1288
Cu1 0.0000 0.0000 0.5000
Cu2 0.5000 0.5000 0.5000

***

[9]
# VCuBi2O7 (PBEsol, relaxed)
# Total magnetic moment, μB per formula unit: 0.0
# Raw formation energy, kJ/mol of formula units: -1533
data_VCuBi2O7
_symmetry_space_group_name_H-M 'P 1'
_symmetry_Int_Tables_number 1
_symmetry_space_group_name_Hall 'P 1'
_cell_length_a 5.9797
_cell_length_b 7.0812
_cell_length_c 7.6775
_cell_angle_alpha 90.35
_cell_angle_beta 72.97
_cell_angle_gamma 72.77
loop_
_atom_site_label
_atom_site_fract_x
_atom_site_fract_y
_atom_site_fract_z
V1 0.8832 0.2681 0.9229
V2 0.1168 0.7319 0.0771
Cu1 0.0000 0.5000 0.5000
Cu2 0.0000 0.0000 0.5000
Bi1 0.4737 0.1270 0.2890
Bi2 0.5263 0.8730 0.7110
Bi3 0.5379 0.6149 0.2711
Bi4 0.4621 0.3851 0.7289
O1 0.7512 0.4978 0.8698
O2 0.2488 0.5022 0.1302
O3 0.7361 0.1223 0.8554
O4 0.2639 0.8777 0.1446
O5 0.2022 0.1909 0.8162
O6 0.7978 0.8091 0.1838
O7 0.7936 0.2862 0.1599
O8 0.2064 0.7138 0.8401
O9 0.3279 0.4301 0.4758
O10 0.6721 0.5699 0.5242
O11 0.0551 0.2356 0.4283
O12 0.9449 0.7644 0.5717
O13 0.3368 0.9042 0.4821
O14 0.6632 0.0958 0.5179

***

[10]
# CuBi3Os (PBEsol, relaxed)
# Formation energy, eV per atom: 1.33
# Total magnetic moment, μB per formula unit: 0.0
data_CuBi3Os
_symmetry_space_group_name_H-M 'P 1'
_symmetry_Int_Tables_number 1
_symmetry_space_group_name_Hall 'P 1'
_cell_length_a 4.9850
_cell_length_b 4.9850
_cell_length_c 4.9850
_cell_angle_alpha 90.00
_cell_angle_beta 90.00
_cell_angle_gamma 90.00
loop_
_atom_site_label
_atom_site_fract_x
_atom_site_fract_y
_atom_site_fract_z
Os1 0.5000 0.5000 0.5000
Bi1 0.0000 0.5000 0.0000
Bi2 0.0000 0.0000 0.5000
Bi3 0.5000 0.0000 0.0000
Cu1 0.0000 0.0000 0.0000

***

[11]
# CuBiPS2 (PBEsol, relaxed)
# Total magnetic moment, μB per formula unit: 0.0
# Raw formation energy, kJ/mol of formula units: 149
data_CuBiPS2
_symmetry_space_group_name_H-M 'P 1'
_symmetry_Int_Tables_number 1
_symmetry_space_group_name_Hall 'P 1'
_cell_length_a 4.4934
_cell_length_b 4.5384
_cell_length_c 4.5384
_cell_angle_alpha 90.00
_cell_angle_beta 90.00
_cell_angle_gamma 90.00
loop_
_atom_site_label
_atom_site_fract_x
_atom_site_fract_y
_atom_site_fract_z
P1 0.5000 0.0000 0.0000
S1 0.0000 0.0000 0.5000
S2 0.0000 0.5000 0.0000
Bi1 0.5000 0.5000 0.5000
Cu1 0.0000 0.0000 0.0000

***

[12]
# CuBi3PbS6 (PBEsol, relaxed)
# Energy above the lowest structure with this stoichiometry, eV per atom: 0.000
# Total magnetic moment, μB per formula unit: 0.0
# Raw formation energy, kJ/mol of formula units: -404
data_CuBi3PbS6
_symmetry_space_group_name_H-M 'P 1'
_symmetry_Int_Tables_number 1
_symmetry_space_group_name_Hall 'P 1'
_cell_length_a 3.9842
_cell_length_b 11.0683
_cell_length_c 11.2915
_cell_angle_alpha 90.00
_cell_angle_beta 90.00
_cell_angle_gamma 90.00
loop_
_atom_site_label
_atom_site_fract_x
_atom_site_fract_y
_atom_site_fract_z
Cu1 0.0000 0.2047 0.5087
Cu2 0.5000 0.7047 0.4913
Bi1 0.0000 0.6799 0.7530
Bi2 0.0000 0.8185 0.2312
Bi3 0.5000 0.3185 0.7688
Bi4 0.5000 0.1799 0.2470
Bi5 0.0000 0.0192 0.9191
Bi6 0.5000 0.5192 0.0809
Pb1 0.0000 0.4818 0.4206
Pb2 0.5000 0.9818 0.5794
S1 0.0000 0.1426 0.7053
S2 0.0000 0.3727 0.1996
S3 0.5000 0.8727 0.8004
S4 0.5000 0.6426 0.2947
S5 0.0000 0.4488 0.8779
S6 0.0000 0.0591 0.3620
S7 0.5000 0.5591 0.6380
S8 0.5000 0.9488 0.1221
S9 0.0000 0.7961 0.5314
S10 0.0000 0.6879 0.0327
S11 0.5000 0.1879 0.9673
S12 0.5000 0.2961 0.4686